Entry from the Alexandria database: a relaxed structure of Y2ErIO8 (PBE).

abc: 7.045 7.180 6.804
angles: 90.00 90.00 90.00
Space group Cmmm (No. 65)
Unique sites:
Y 0.000 0.000 0.248 (multiplicity 4)
Er 0.000 0.500 0.000 (multiplicity 2)
I 0.000 0.500 0.500 (multiplicity 2)
O 0.000 0.321 0.291 (multiplicity 8)
O 0.194 0.000 0.000 (multiplicity 4)
O 0.231 0.000 0.500 (multiplicity 4)

Output
- Energy relative to the elements, uncorrected: -2.34 eV/atom

=====

Entry from the Alexandria database: a relaxed structure of ZrTaNb3 (PBE).

abc: 4.896 4.896 4.896
angles: 90.00 90.00 90.00
Space group Pm-3m (No. 221)
Unique sites:
Zr 0.000 0.000 0.000 (multiplicity 1)
Ta 0.500 0.500 0.500 (multiplicity 1)
Nb 0.000 0.500 0.500 (multiplicity 3)

Output
- Formation enthalpy at 0 K: 1.20 eV per atom
- ΔE to the lowest computed polymorph: 1158.3 meV/atom

=====

Entry from the Alexandria database: a relaxed structure of Y2WSe (PBE).

abc: 4.496 3.794 10.723
angles: 90.00 90.00 90.00
Space group Amm2 (No. 38)
Unique sites:
Y 0.000 0.000 0.000 (multiplicity 2)
Y 0.500 0.000 0.286 (multiplicity 2)
W 0.000 0.000 0.723 (multiplicity 2)
Se 0.500 0.000 0.572 (multiplicity 2)

Output
- Energy relative to the elements, uncorrected: -0.28 eV/atom

=====

Entry from the Alexandria database: a relaxed structure of Tm6NpO12 (PBE).

abc: 9.8416 9.8416 9.2853
angles: 90.00 90.00 120.00
Space group R-3 (No. 148, hexagonal axes)
Unique sites:
Tm 0.0360 0.2502 0.1402 (multiplicity 18)
Np 0.0000 0.0000 0.5000 (multiplicity 3)
O 0.0292 0.2194 0.8973 (multiplicity 18)
O 0.0329 0.1953 0.3847 (multiplicity 18)

Output
- Energy relative to the elements, uncorrected: -3.54 eV/atom

=====

Entry from the Alexandria database: a relaxed structure of RbSn12Hg3 (PBE).

abc: 9.3709 9.3709 39.2535
angles: 90.00 90.00 120.00
Space group R3c (No. 161, hexagonal axes)
Unique sites:
Rb 0.0000 0.0000 0.0000 (multiplicity 6)
Sn 0.0368 0.2220 0.2684 (multiplicity 18)
Sn 0.0416 0.2182 0.4029 (multiplicity 18)
Sn 0.0839 0.2207 0.1208 (multiplicity 18)
Sn 0.1747 0.4534 0.5037 (multiplicity 18)
Hg 0.0895 0.2340 0.6944 (multiplicity 18)

Output
- Formation enthalpy at 0 K: 0.03 eV per atom

=====

Entry from the Alexandria database: a relaxed structure of Ba6PtSe2Br3 (PBE).

abc: 8.264 14.301 8.344
angles: 90.00 109.22 90.00
Space group C2/m (No. 12)
Unique sites:
Ba 0.232 0.159 0.219 (multiplicity 8)
Ba 0.245 0.000 0.778 (multiplicity 4)
Pt 0.000 0.000 0.000 (multiplicity 2)
Se 0.000 0.334 0.000 (multiplicity 4)
Br 0.000 0.176 0.500 (multiplicity 4)
Br 0.000 0.500 0.500 (multiplicity 2)

Output
- Energy relative to the elements, uncorrected: -1.64 eV/atom

=====

What did the fourth record say?
Entry from the Alexandria database: a relaxed structure of Tm6NpO12 (PBE).

abc: 9.8416 9.8416 9.2853
angles: 90.00 90.00 120.00
Space group R-3 (No. 148, hexagonal axes)
Unique sites:
Tm 0.0360 0.2502 0.1402 (multiplicity 18)
Np 0.0000 0.0000 0.5000 (multiplicity 3)
O 0.0292 0.2194 0.8973 (multiplicity 18)
O 0.0329 0.1953 0.3847 (multiplicity 18)

Output
- Energy relative to the elements, uncorrected: -3.54 eV/atom